Record 1
Computed, not measured: an optimized crystal structure of Be2CrBr at the PBE level of DFT.

E   -4.41 eV per atom
Magnetization   6.0 μB/cell
Formation energy from raw total energies   106.5 kJ/mol of formula units
D(E_F)   1.18 states/eV/cell
Energy above the lowest structure with this stoichiometry   0 meV per atom

CIF file:
```
data_Be2CrBr
_chemical_formula_sum 'Be4 Cr2 Br2'
_symmetry_space_group_name_H-M 'C 1 m 1'
_symmetry_Int_Tables_number 8
_cell_length_a 6.394
_cell_length_b 3.691
_cell_length_c 5.382
_cell_angle_alpha 90.00
_cell_angle_beta 90.12
_cell_angle_gamma 90.00
loop_
_symmetry_equiv_pos_as_xyz
'x,y,z'
'x,-y,z'
'x+1/2,y+1/2,z'
'x+1/2,-y+1/2,z'
loop_
_atom_site_label
_atom_site_type_symbol
_atom_site_fract_x
_atom_site_fract_y
_atom_site_fract_z
Be1 Be 0.000 0.000 0.000
Be2 Be 0.167 0.500 0.031
Cr1 Cr 0.334 0.000 0.227
Br1 Br 0.000 0.000 0.554
```

---

Record 2
Computed, not measured: an optimized crystal structure of Be2CrBr at the PBE level of DFT.

E   -3.89 eV per atom
Magnetization   5.5 μB/cell
Formation energy from raw total energies   308.6 kJ/mol of formula units
D(E_F)   3.06 states/eV/cell
Energy above the lowest structure with this stoichiometry   524 meV per atom

CIF file:
```
data_Be2CrBr
_chemical_formula_sum 'Be4 Cr2 Br2'
_symmetry_space_group_name_H-M 'I m m m'
_symmetry_Int_Tables_number 71
_symmetry_space_group_name_Hall '-I 2 2'
_cell_length_a 3.038
_cell_length_b 4.119
_cell_length_c 8.570
_cell_angle_alpha 90.00
_cell_angle_beta 90.00
_cell_angle_gamma 90.00
loop_
_atom_site_label
_atom_site_type_symbol
_atom_site_fract_x
_atom_site_fract_y
_atom_site_fract_z
Be1 Be 0.000 0.000 0.249
Cr1 Cr 0.000 0.500 0.500
Br1 Br 0.000 0.500 0.000
```

---

Record 3
Computed, not measured: an optimized crystal structure of Be2CrBr at the PBE level of DFT.

E   -3.88 eV per atom
Magnetization   2.7 μB/cell
Formation energy from raw total energies   311.3 kJ/mol of formula units
D(E_F)   2.24 states/eV/cell
Energy above the lowest structure with this stoichiometry   531 meV per atom

CIF file:
```
data_Be2CrBr
_chemical_formula_sum 'Be2 Cr1 Br1'
_symmetry_space_group_name_H-M 'P 4/m m m'
_symmetry_Int_Tables_number 123
_symmetry_space_group_name_Hall '-P 4 2'
_cell_length_a 4.160
_cell_length_b 4.160
_cell_length_c 3.106
_cell_angle_alpha 90.00
_cell_angle_beta 90.00
_cell_angle_gamma 90.00
loop_
_atom_site_label
_atom_site_type_symbol
_atom_site_fract_x
_atom_site_fract_y
_atom_site_fract_z
Be1 Be 0.000 0.500 0.000
Cr1 Cr 0.000 0.000 0.500
Br1 Br 0.500 0.500 0.500
```

---

Record 4
Computed, not measured: an optimized crystal structure of BeCrBr at the PBE level of DFT.

E   -4.40 eV per atom
Magnetization   1.2 μB/cell
Formation energy from raw total energies   176.0 kJ/mol of formula units
D(E_F)   1.95 states/eV/cell
Energy above the lowest structure with this stoichiometry   117 meV per atom

CIF file:
```
data_BeCrBr
_chemical_formula_sum 'Be1 Cr1 Br1'
_symmetry_space_group_name_H-M 'P 3 m 1'
_symmetry_Int_Tables_number 156
_cell_length_a 3.0472
_cell_length_b 3.0472
_cell_length_c 6.0839
_cell_angle_alpha 90.00
_cell_angle_beta 90.00
_cell_angle_gamma 120.00
loop_
_symmetry_equiv_pos_as_xyz
'x,y,z'
'-y,x-y,z'
'-x+y,-x,z'
'-y,-x,z'
'-x+y,y,z'
'x,x-y,z'
loop_
_atom_site_label
_atom_site_type_symbol
_atom_site_fract_x
_atom_site_fract_y
_atom_site_fract_z
Be1 Be 0.0000 0.0000 0.0000
Cr1 Cr 0.6667 0.3333 0.7373
Br1 Br 0.3333 0.6667 0.4571
```

---

Record 5
Computed, not measured: an optimized crystal structure of BeCrBr at the PBE level of DFT.

E   -4.35 eV per atom
Magnetization   2.0 μB/cell
Formation energy from raw total energies   190.3 kJ/mol of formula units
D(E_F)   2.18 states/eV/cell
Energy above the lowest structure with this stoichiometry   167 meV per atom

CIF file:
```
data_BeCrBr
_chemical_formula_sum 'Be2 Cr2 Br2'
_symmetry_space_group_name_H-M 'I 4 m m'
_symmetry_Int_Tables_number 107
_symmetry_space_group_name_Hall 'I 4 -2'
_cell_length_a 2.926
_cell_length_b 2.926
_cell_length_c 12.115
_cell_angle_alpha 90.00
_cell_angle_beta 90.00
_cell_angle_gamma 90.00
loop_
_atom_site_label
_atom_site_type_symbol
_atom_site_fract_x
_atom_site_fract_y
_atom_site_fract_z
Be1 Be 0.000 0.000 0.000
Cr1 Cr 0.000 0.000 0.605
Br1 Br 0.000 0.000 0.229
```

---

Record 6
Computed, not measured: an optimized crystal structure of BeCrBr at the PBE level of DFT.

E   -4.06 eV per atom
Magnetization   3.1 μB/cell
Formation energy from raw total energies   273.4 kJ/mol of formula units
D(E_F)   2.03 states/eV/cell
Energy above the lowest structure with this stoichiometry   454 meV per atom

CIF file:
```
data_BeCrBr
_chemical_formula_sum 'Be1 Cr1 Br1'
_symmetry_space_group_name_H-M 'P -6 m 2'
_symmetry_Int_Tables_number 187
_symmetry_space_group_name_Hall 'P -6 2'
_cell_length_a 4.2612
_cell_length_b 4.2612
_cell_length_c 3.1826
_cell_angle_alpha 90.00
_cell_angle_beta 90.00
_cell_angle_gamma 120.00
loop_
_atom_site_label
_atom_site_type_symbol
_atom_site_fract_x
_atom_site_fract_y
_atom_site_fract_z
Be1 Be 0.0000 0.0000 0.0000
Cr1 Cr 0.6667 0.3333 0.5000
Br1 Br 0.3333 0.6667 0.5000
```